VASP calculation (GGA-PBE) on YAl12Pd6 after structural relaxation.

The calculation puts the density at 5.36 g/cm3. The calculation puts the formation energy from the elements at -11.451 eV per formula unit. The size of the total moment comes out at 0.0 Bohr magnetons per cell. As for the total energy: -281.9 eV/cell.

The structure belongs to space group R-3m (No. 166, hexagonal axes); the cell edges are 11.3694, 11.3694 and 8.7315 Å and the angles 90.00°, 90.00° and 120.00°. Symmetry generates all atoms from Y at (0.0000, 0.0000, 0.0000), Al at (0.0000, 0.3854, 0.5000), Al at (0.0837, 0.1674, 0.3152) and Pd at (0.0473, 0.5236, 0.2438).